## TbEu2Tm (PBE)

Data for crystalline TbEu2Tm at its relaxed geometry.

Geometry as POSCAR:
```
TbEu2Tm
1.0
3.5683 0.0000 0.0000
1.7841 3.0902 0.0000
1.7841 1.0301 12.8361
Eu Tm Tb
2 1 1
direct
0.0882 0.0882 0.7355 Eu
0.9118 0.9118 0.2645 Eu
0.5000 0.5000 0.5000 Tm
0.0000 0.0000 0.0000 Tb
```

## Properties
The formation energy is 23 kJ per mole of atoms. For the distance to the lowest polymorph of the same formula, the calculation gives 109 meV per atom.

## TbEuTm2 (PBE)

Data for crystalline TbEuTm2 at its relaxed geometry.

Geometry as POSCAR:
```
TbEuTm2
1.0
3.5053 0.0000 0.0000
1.7526 3.0356 0.0000
1.7526 1.0119 12.4433
Eu Tm Tb
1 2 1
direct
0.0000 0.0000 0.0000 Eu
0.0913 0.0913 0.7262 Tm
0.9087 0.9087 0.2738 Tm
0.5000 0.5000 0.5000 Tb
```

## Properties
The formation energy is 17 kJ per mole of atoms. For the distance to the lowest polymorph of the same formula, the calculation gives 102 meV per atom.

## TbEuTm2 (PBE)

Data for crystalline TbEuTm2 at its relaxed geometry.

Geometry as POSCAR:
```
TbEuTm2
1.0
-1.1682 -5.0403 2.3703
3.8310 -2.5134 3.3755
-0.9440 -0.3603 5.6006
Eu Tm Tb
1 2 1
direct
0.0000 0.0000 0.0000 Eu
0.2500 0.2500 0.2500 Tm
0.7500 0.7500 0.7500 Tm
0.5000 0.5000 0.5000 Tb
```

## Properties
The formation energy is 16 kJ per mole of atoms. For the distance to the lowest polymorph of the same formula, the calculation gives 92 meV per atom.

## TbEuTm2 (PBE)

Data for crystalline TbEuTm2 at its relaxed geometry.

Geometry as POSCAR:
```
TbEuTm2
1.0
3.8602 0.0000 0.0000
0.0000 5.8119 0.0000
0.0000 0.0000 5.8119
Eu Tm Tb
1 2 1
direct
0.5000 0.5000 0.5000 Eu
0.0000 0.0000 0.5000 Tm
0.0000 0.5000 0.0000 Tm
0.5000 0.0000 0.0000 Tb
```

## Properties
The formation energy is 15 kJ per mole of atoms. For the distance to the lowest polymorph of the same formula, the calculation gives 87 meV per atom.

The lowest distance to the lowest polymorph of the same formula belongs to which entry? number 4